A geometry-optimized PrYMnCd structure, computed with PBE.

Output
Theoretical density ... 6332 kg/m3
E ... -5.33 eV/atom
Volume ... 26.04 A^3/atom
Formation energy from the elements ... 0.002 eV per atom

Cell lengths 7.469, 7.469, 7.469 Å; angles 90.00, 90.00, 90.00 degrees
Space group F-43m (No. 216)
Inequivalent atoms, fractional coordinates:
Pr (0.000, 0.000, 0.000) (multiplicity 4)
Y (0.000, 0.000, 0.500) (multiplicity 4)
Mn (0.250, 0.250, 0.250) (multiplicity 4)
Cd (0.250, 0.250, 0.750) (multiplicity 4)